No. 1
! LiRh3F (meta-GGA SCAN, single point on PBEsol structure); values from VASP
&SYSTEM
  ibrav = 0, nat = 5, ntyp = 3
/
ATOMIC_SPECIES
Li 6.94 Li.upf
Rh 102.91 Rh.upf
F 19.00 F.upf
ATOMIC_POSITIONS crystal
Li 0.000 0.000 0.000
Rh 0.000 0.000 0.500
Rh 0.000 0.500 0.000
Rh 0.500 0.000 0.000
F 0.500 0.500 0.500
CELL_PARAMETERS angstrom
4.080 0.000 0.000
0.000 4.080 0.000
0.000 0.000 4.080
! size of the total moment	4.0	μB/cell
! uncorrected formation energy	975	meV/atom
! space-group type	Pm-3m

***

No. 2
! LiZnRhF6 (meta-GGA SCAN, single point on PBEsol structure); values from VASP
&SYSTEM
  ibrav = 0, nat = 18, ntyp = 4
/
ATOMIC_SPECIES
Li 6.94 Li.upf
Zn 65.41 Zn.upf
Rh 102.91 Rh.upf
F 19.00 F.upf
ATOMIC_POSITIONS crystal
Li 0.000 0.000 0.000
Li 0.500 0.500 0.500
Zn 0.000 0.000 0.670
Zn 0.500 0.500 0.170
Rh 0.000 0.000 0.334
Rh 0.500 0.500 0.834
F 0.193 0.193 0.170
F 0.194 0.194 0.497
F 0.200 0.200 0.835
F 0.300 0.700 0.335
F 0.306 0.694 0.997
F 0.307 0.693 0.670
F 0.693 0.307 0.670
F 0.694 0.306 0.997
F 0.700 0.300 0.335
F 0.800 0.800 0.835
F 0.806 0.806 0.497
F 0.807 0.807 0.170
CELL_PARAMETERS angstrom
4.658 0.000 0.000
0.000 4.658 0.000
0.000 0.000 9.272
! size of the total moment	0.2	μB/cell
! uncorrected formation energy	-2365	meV/atom
! space-group type	P4_2nm